# 1
A plane-wave DFT calculation with PBE was carried out for a geometry-optimized Ho2ErFe3Ni6 structure.

Lattice parameters (Å, degrees): 8.514 8.514 8.514 34.12 34.12 34.12
Atoms (fractional coordinates):
Ho1 0.139 0.139 0.139
Ho2 0.861 0.861 0.861
Er1 0.000 0.000 0.000
Fe1 0.333 0.333 0.333
Fe2 0.500 0.500 0.500
Fe3 0.667 0.667 0.667
Ni1 0.082 0.583 0.583
Ni2 0.417 0.417 0.918
Ni3 0.417 0.918 0.417
Ni4 0.583 0.082 0.583
Ni5 0.583 0.583 0.082
Ni6 0.918 0.417 0.417

Output
space group: No. 166
E_form: -0.30 eV/atom



# 2
A plane-wave DFT calculation with PBE was carried out for a geometry-optimized Ho2ErFe7Ni2 structure.

Lattice parameters (Å, degrees): 8.691 8.691 8.691 33.19 33.19 33.19
Atoms (fractional coordinates):
Ho1 0.141 0.141 0.141
Ho2 0.859 0.859 0.859
Er1 0.000 0.000 0.000
Fe1 0.082 0.582 0.582
Fe2 0.418 0.418 0.918
Fe3 0.418 0.918 0.418
Fe4 0.500 0.500 0.500
Fe5 0.582 0.082 0.582
Fe6 0.582 0.582 0.082
Fe7 0.918 0.418 0.418
Ni1 0.333 0.333 0.333
Ni2 0.667 0.667 0.667

Output
space group: No. 166
E_form: -0.14 eV/atom



# 3
A plane-wave DFT calculation with PBE was carried out for a geometry-optimized HoEr2Fe3Ni6 structure.

Lattice parameters (Å, degrees): 8.496 8.496 8.496 34.18 34.18 34.18
Atoms (fractional coordinates):
Ho1 0.000 0.000 0.000
Er1 0.139 0.139 0.139
Er2 0.861 0.861 0.861
Fe1 0.333 0.333 0.333
Fe2 0.500 0.500 0.500
Fe3 0.667 0.667 0.667
Ni1 0.081 0.584 0.584
Ni2 0.416 0.416 0.919
Ni3 0.416 0.919 0.416
Ni4 0.584 0.081 0.584
Ni5 0.584 0.584 0.081
Ni6 0.919 0.416 0.416

Output
space group: No. 166
E_form: -0.31 eV/atom



# 4
A plane-wave DFT calculation with PBE was carried out for a geometry-optimized HoEr2Fe8Ni structure.

Lattice parameters (Å, degrees): 8.613 8.613 8.613 33.85 33.85 33.85
Atoms (fractional coordinates):
Ho1 0.000 0.000 0.000
Er1 0.142 0.142 0.142
Er2 0.858 0.858 0.858
Fe1 0.080 0.582 0.582
Fe2 0.333 0.333 0.333
Fe3 0.418 0.418 0.920
Fe4 0.418 0.920 0.418
Fe5 0.582 0.080 0.582
Fe6 0.582 0.582 0.080
Fe7 0.667 0.667 0.667
Fe8 0.920 0.418 0.418
Ni1 0.500 0.500 0.500

Output
space group: No. 166
E_form: -0.13 eV/atom



# 5
A plane-wave DFT calculation with PBE was carried out for a geometry-optimized HoErFe2Pb structure.

Lattice parameters (Å, degrees): 3.778 7.354 7.354 30.68 90.00 90.00
Atoms (fractional coordinates):
Ho1 0.000 0.000 0.000
Er1 0.000 0.277 0.277
Fe1 0.500 0.432 0.432
Fe2 0.500 0.844 0.844
Pb1 0.500 0.639 0.639

Output
space group: No. 38



# 6
A plane-wave DFT calculation with PBE was carried out for a geometry-optimized HoErFe2Si4 structure.

Lattice parameters (Å, degrees): 3.925 8.505 8.505 27.22 90.00 90.00
Atoms (fractional coordinates):
Ho1 0.000 0.000 0.000
Er1 0.500 0.783 0.783
Fe1 0.000 0.214 0.214
Fe2 0.500 0.569 0.569
Si1 0.000 0.349 0.349
Si2 0.000 0.642 0.642
Si3 0.500 0.141 0.141
Si4 0.500 0.434 0.434

Output
space group: No. 38



# 7
A plane-wave DFT calculation with PBE was carried out for a geometry-optimized Ho3Er3FeTe2 structure.

Lattice parameters (Å, degrees): 8.262 8.262 3.954 90.00 90.00 120.00
Atoms (fractional coordinates):
Ho1 0.000 0.236 0.000
Ho2 0.236 0.000 0.000
Ho3 0.764 0.764 0.000
Er1 0.000 0.605 0.500
Er2 0.395 0.395 0.500
Er3 0.605 0.000 0.500
Fe1 0.000 0.000 0.500
Te1 0.333 0.667 0.000
Te2 0.667 0.333 0.000

Output
offset from the most stable computed form: 0.016 eV per atom
space group: No. 189



# 8
A plane-wave DFT calculation with PBE was carried out for a geometry-optimized Ho3Er3FeTe2 structure.

Lattice parameters (Å, degrees): 8.254 8.254 3.958 90.00 90.00 120.00
Atoms (fractional coordinates):
Ho1 0.000 0.605 0.000
Ho2 0.395 0.395 0.000
Ho3 0.605 0.000 0.000
Er1 0.000 0.235 0.500
Er2 0.235 0.000 0.500
Er3 0.765 0.765 0.500
Fe1 0.000 0.000 0.000
Te1 0.333 0.667 0.500
Te2 0.667 0.333 0.500

Output
offset from the most stable computed form: 0.000 eV per atom
space group: No. 189



# 9
A plane-wave DFT calculation with PBE was carried out for a geometry-optimized TbErFe2I2 structure.

Lattice parameters (Å, degrees): 3.949 3.949 12.483 90.00 90.00 120.00
Atoms (fractional coordinates):
Tb1 0.000 0.000 0.000
Er1 0.000 0.000 0.307
Fe1 0.333 0.667 0.153
Fe2 0.667 0.333 0.158
I1 0.333 0.667 0.477
I2 0.667 0.333 0.826

Output
space group: No. 156



# 10
A plane-wave DFT calculation with PBE was carried out for a geometry-optimized ErIn8Fe4 structure.

Lattice parameters (Å, degrees): 7.294 7.294 7.294 98.34 98.34 135.24
Atoms (fractional coordinates):
Er1 0.000 0.000 0.000
In1 0.000 0.330 0.330
In2 0.000 0.670 0.670
In3 0.281 0.500 0.781
In4 0.330 0.000 0.330
In5 0.500 0.281 0.781
In6 0.500 0.719 0.219
In7 0.670 0.000 0.670
In8 0.719 0.500 0.219
Fe1 0.000 0.000 0.500
Fe2 0.000 0.500 0.000
Fe3 0.500 0.000 0.000
Fe4 0.500 0.500 0.500

Output
space group: No. 139



# 11
A plane-wave DFT calculation with PBE was carried out for a geometry-optimized ErLuIn2Fe4 structure.

Lattice parameters (Å, degrees): 3.967 5.001 7.208 90.00 90.00 90.00
Atoms (fractional coordinates):
Er1 0.000 0.000 0.000
Lu1 0.000 0.500 0.579
In1 0.500 0.000 0.640
In2 0.500 0.500 0.941
Fe1 0.000 0.000 0.376
Fe2 0.000 0.500 0.208
Fe3 0.500 0.251 0.292
Fe4 0.500 0.749 0.292

Output
space group: No. 25



# 12
A plane-wave DFT calculation with PBE was carried out for a geometry-optimized Er4InFe2Si4 structure.

Lattice parameters (Å, degrees): 7.851 7.851 6.850 106.65 106.65 30.43
Atoms (fractional coordinates):
Er1 0.089 0.089 0.386
Er2 0.153 0.153 0.939
Er3 0.847 0.847 0.061
Er4 0.911 0.911 0.614
In1 0.500 0.500 0.000
Fe1 0.281 0.281 0.372
Fe2 0.719 0.719 0.628
Si1 0.289 0.289 0.719
Si2 0.433 0.433 0.348
Si3 0.567 0.567 0.652
Si4 0.711 0.711 0.281

Output
space group: No. 12



no.,energy (eV per atom)
1,-6.31
2,-7.06
3,-6.31
4,-7.27
5,-6.10
6,-6.54
7,-5.27
8,-5.29
9,-5.52
10,-4.54
11,-6.21
12,-6.11